! PBE Ac3Nd5Y2, optimized geometry; values from VASP
&SYSTEM
  ibrav = 0, nat = 20, ntyp = 3
/
ATOMIC_SPECIES
Y 88.91 Y.upf
Nd 144.24 Nd.upf
Ac 227.00 Ac.upf
ATOMIC_POSITIONS crystal
Y 0.5699 0.3331 0.3548
Y 0.1763 0.9257 0.1515
Y 0.4301 0.6669 0.6452
Y 0.8237 0.0743 0.8485
Nd 0.0269 0.2742 0.4486
Nd 0.3795 0.1231 0.7479
Nd 0.1296 0.3704 0.2534
Nd 0.8704 0.6296 0.7466
Nd 0.4718 0.2219 0.5453
Nd 0.7744 0.5207 0.9456
Nd 0.6205 0.8769 0.2521
Nd 0.5282 0.7781 0.4547
Nd 0.2256 0.4793 0.0544
Nd 0.9731 0.7258 0.5514
Ac 0.6774 0.4273 0.1540
Ac 0.7288 0.9702 0.0484
Ac 0.2712 0.0298 0.9516
Ac 0.3226 0.5727 0.8460
Ac 0.0824 0.8181 0.3521
Ac 0.9176 0.1819 0.6479
CELL_PARAMETERS angstrom
8.7424 2.0960 -4.2093
0.6040 8.9636 -4.2783
-1.9546 -2.2707 11.4756
! Energy of formation from the pure elements = 0.037 eV/atom
! Calculated total energy = -4.8722 eV per atom
! Space-group type = P-1 (2)

! PBE Dy6Ho3Er2In, optimized geometry; values from VASP
&SYSTEM
  ibrav = 0, nat = 12, ntyp = 4
/
ATOMIC_SPECIES
Dy 162.50 Dy.upf
Ho 164.93 Ho.upf
Er 167.26 Er.upf
In 114.82 In.upf
ATOMIC_POSITIONS crystal
Dy 0.0818 0.4110 0.2468
Dy 0.5890 0.9182 0.7532
Dy 0.7527 0.7527 0.2482
Dy 0.4110 0.0818 0.2468
Dy 0.2473 0.2473 0.7518
Dy 0.9182 0.5890 0.7532
Ho 0.8330 0.1670 0.5000
Ho 0.5000 0.5000 0.5000
Ho 0.1670 0.8330 0.5000
Er 0.3339 0.6661 0.0000
Er 0.6661 0.3339 0.0000
In 0.0000 0.0000 0.0000
CELL_PARAMETERS angstrom
6.0689 -0.0030 0.0014
-3.0356 5.2552 0.0014
-1.0193 -1.7649 11.3877
! Energy of formation from the pure elements = -0.039 eV/atom
! Calculated total energy = -4.4729 eV per atom
! Space-group type = C2/m (12)

! PBE La2MgHg, optimized geometry; values from VASP
&SYSTEM
  ibrav = 0, nat = 8, ntyp = 3
/
ATOMIC_SPECIES
Mg 24.30 Mg.upf
La 138.91 La.upf
Hg 200.59 Hg.upf
ATOMIC_POSITIONS crystal
Mg 0.2500 0.7500 0.5000
Mg 0.5000 0.5000 0.0000
La 0.3750 0.3391 0.7500
La 0.0891 0.6250 0.2500
La 0.8750 0.9109 0.7500
La 0.6609 0.1250 0.2500
Hg 0.0000 0.0000 0.0000
Hg 0.7500 0.2500 0.5000
CELL_PARAMETERS angstrom
-3.8918 -5.1550 -6.3275
2.3149 -7.4194 4.6208
-3.5756 -6.1558 0.7539
! Energy of formation from the pure elements = 0.012 eV/atom
! Calculated total energy = -2.9261 eV per atom
! Space-group type = I-42d (122)